DFT (PBE) results for a relaxed structure of Ce3Mn5H12.

Unit cell a=9.9599 b=9.9599 c=9.9599 alpha=109.47 beta=109.47 gamma=109.47
Closest atoms and distances in Å follow each position.
Fractional positions:
H: 0.6672 0.4833 0.5843  2 Mn 1.69-1.79
H: 0.8328 0.9157 0.0167  2 Mn 1.69-1.79
H: 0.9171 0.0843 0.6010  2 Mn 1.69-1.79
H: 0.5167 0.1840 0.1010  2 Mn 1.69-1.79
H: 0.4171 0.3160 0.3328  2 Mn 1.69-1.79
H: 0.9833 0.3990 0.3160  2 Mn 1.69-1.79
H: 0.8328 0.9171 0.3160  2 Mn 1.69-1.79
H: 0.4157 0.0167 0.3328  2 Mn 1.69-1.79
H: 0.3160 0.4171 0.8328  2 Mn 1.69-1.79
H: 0.1840 0.6672 0.0829  2 Mn 1.69-1.79
H: 0.8990 0.5829 0.9157  2 Mn 1.69-1.79
H: 0.4171 0.1010 0.5843  2 Mn 1.69-1.79
H: 0.4833 0.6672 0.0843  2 Mn 1.69-1.79
H: 0.1840 0.5167 0.6010  2 Mn 1.69-1.79
H: 0.6672 0.1840 0.5829  2 Mn 1.69-1.79
H: 0.8160 0.4833 0.3990  2 Mn 1.69-1.79
H: 0.0167 0.4157 0.8328  2 Mn 1.69-1.79
H: 0.0829 0.9157 0.3990  2 Mn 1.69-1.79
H: 0.4833 0.8160 0.8990  2 Mn 1.69-1.79
H: 0.1010 0.6840 0.5167  2 Mn 1.69-1.79
H: 0.5843 0.6010 0.4171  2 Mn 1.69-1.79
H: 0.0167 0.6010 0.6840  2 Mn 1.69-1.79
H: 0.4157 0.3990 0.5829  2 Mn 1.69-1.79
H: 0.3990 0.4157 0.0829  2 Mn 1.69-1.79
H: 0.1672 0.0843 0.9833  2 Mn 1.69-1.79
H: 0.9157 0.8328 0.5167  2 Mn 1.69-1.79
H: 0.6840 0.5829 0.1672  2 Mn 1.69-1.79
H: 0.5829 0.6840 0.6672  2 Mn 1.69-1.79
H: 0.0843 0.1672 0.4833  2 Mn 1.69-1.79
H: 0.9833 0.5843 0.1672  2 Mn 1.69-1.79
H: 0.3328 0.8160 0.4171  2 Mn 1.69-1.79
H: 0.9171 0.8328 0.8160  2 Mn 1.69-1.79
H: 0.8160 0.3328 0.9171  2 Mn 1.69-1.79
H: 0.0843 0.9171 0.1010  2 Mn 1.69-1.79
H: 0.8990 0.3160 0.4833  2 Mn 1.69-1.79
H: 0.5829 0.8990 0.4157  2 Mn 1.69-1.79
H: 0.3160 0.8990 0.9833  2 Mn 1.69-1.79
H: 0.3328 0.5167 0.4157  2 Mn 1.69-1.79
H: 0.1672 0.0829 0.6840  2 Mn 1.69-1.79
H: 0.5167 0.3328 0.9157  2 Mn 1.69-1.79
H: 0.5843 0.9833 0.6672  2 Mn 1.69-1.79
H: 0.3990 0.9833 0.8160  2 Mn 1.69-1.79
H: 0.1010 0.4171 0.0843  2 Mn 1.69-1.79
H: 0.6010 0.5843 0.9171  2 Mn 1.69-1.79
H: 0.9157 0.0829 0.8990  2 Mn 1.69-1.79
H: 0.0829 0.1672 0.1840  2 Mn 1.69-1.79
H: 0.6840 0.1010 0.0167  2 Mn 1.69-1.79
H: 0.6010 0.0167 0.1840  2 Mn 1.69-1.79
Ce: 0.2500 0.1250 0.3750  8 H 2.33-2.34
Ce: 0.7500 0.8750 0.6250  8 H 2.33-2.34
Ce: 0.7500 0.3750 0.1250  8 H 2.33-2.34
Ce: 0.8750 0.1250 0.2500  8 H 2.33-2.34
Ce: 0.3750 0.7500 0.6250  8 H 2.33-2.34
Ce: 0.6250 0.3750 0.7500  8 H 2.33-2.34
Ce: 0.1250 0.8750 0.7500  8 H 2.33-2.34
Ce: 0.3750 0.6250 0.2500  8 H 2.33-2.34
Ce: 0.6250 0.2500 0.3750  8 H 2.33-2.34
Ce: 0.8750 0.7500 0.1250  8 H 2.33-2.34
Ce: 0.2500 0.6250 0.8750  8 H 2.33-2.34
Ce: 0.1250 0.2500 0.8750  8 H 2.33-2.34
Mn: 0.5000 0.5000 0.0000  6 H 1.69
Mn: 0.0000 0.0000 0.5000  6 H 1.69
Mn: 0.2500 0.8750 0.1250  4 H 1.79
Mn: 0.6250 0.7500 0.8750  4 H 1.79
Mn: 0.0000 0.0000 0.0000  6 H 1.69
Mn: 0.6250 0.8750 0.2500  4 H 1.79
Mn: 0.8750 0.2500 0.6250  4 H 1.79
Mn: 0.0000 0.5000 0.0000  6 H 1.69
Mn: 0.3750 0.1250 0.7500  4 H 1.79
Mn: 0.5000 0.0000 0.5000  6 H 1.69
Mn: 0.3750 0.2500 0.1250  4 H 1.79
Mn: 0.7500 0.6250 0.3750  4 H 1.79
Mn: 0.1250 0.3750 0.2500  4 H 1.79
Mn: 0.5000 0.0000 0.0000  6 H 1.69
Mn: 0.8750 0.6250 0.7500  4 H 1.79
Mn: 0.1250 0.7500 0.3750  4 H 1.79
Mn: 0.5000 0.5000 0.5000  6 H 1.69
Mn: 0.7500 0.1250 0.8750  4 H 1.79
Mn: 0.0000 0.5000 0.5000  6 H 1.69
Mn: 0.2500 0.3750 0.6250  4 H 1.79

Symmetry: Ia-3d (230)
Crystal system: cubic
Calculated density (g/cm³): 6.175
Total energy (Ha/atom): -0.1961
N(E_F) (states/eV/cell): 54.23

DFT (PBE) results for a relaxed structure of Ca2C.

Unit cell a=3.8827 b=3.8827 c=13.5573 alpha=90.00 beta=90.00 gamma=122.02
Closest atoms and distances in Å follow each position.
Fractional positions:
C: 0.0000 0.0000 0.0000  6 Ca 2.54-2.55
C: 0.0000 0.0000 0.5000  6 Ca 2.54-2.55
Ca: 0.6711 0.3289 0.5914  3 C 2.54-2.55
Ca: 0.6711 0.3289 0.9086  3 C 2.54-2.55
Ca: 0.3289 0.6711 0.0914  3 C 2.54-2.55
Ca: 0.3289 0.6711 0.4086  3 C 2.54-2.55

Symmetry: Cmcm (63)
Crystal system: orthorhombic
Formation energy (eV/atom): 0.380
Calculated density (g/cm³): 1.766
Polymorph energy (0 for the lowest one) (meV per atom): 345
N(E_F) (states/eV/cell): 5.22

DFT (PBE) results for a relaxed structure of Nd3Ho2Th.

Unit cell a=6.5449 b=8.1388 c=8.1388 alpha=71.25 beta=90.00 gamma=90.00
Closest atoms and distances in Å follow each position.
Fractional positions:
Ho: 0.0775 0.2438 0.6050  5 Nd 3.36-3.64, 1 Ho 3.43, 1 Th 3.76
Ho: 0.0775 0.6050 0.2438  5 Nd 3.36-3.64, 1 Ho 3.43, 1 Th 3.76
Ho: 0.5775 0.3950 0.7562  5 Nd 3.36-3.64, 1 Ho 3.43, 1 Th 3.76
Ho: 0.5775 0.7562 0.3950  5 Nd 3.36-3.64, 1 Ho 3.43, 1 Th 3.76
Th: 0.7999 0.8278 0.8278  7 Nd 3.26-3.58
Th: 0.2999 0.1722 0.1722  7 Nd 3.26-3.58
Nd: 0.0930 0.4949 0.8618  2 Th 3.26-3.29, 4 Ho 3.36-3.64, 1 Nd 3.48
Nd: 0.3170 0.9149 0.9149  3 Th 3.36-3.58, 2 Ho 3.41, 2 Nd 3.71
Nd: 0.5930 0.1382 0.5051  2 Th 3.26-3.29, 4 Ho 3.36-3.64, 1 Nd 3.48
Nd: 0.8170 0.0851 0.0851  3 Th 3.36-3.58, 2 Ho 3.41, 2 Nd 3.71
Nd: 0.5930 0.5051 0.1382  2 Th 3.26-3.29, 4 Ho 3.36-3.64, 1 Nd 3.48
Nd: 0.0930 0.8618 0.4949  2 Th 3.26-3.29, 4 Ho 3.36-3.64, 1 Nd 3.48

Symmetry: Cmc2_1 (36)
Crystal system: orthorhombic
Formation energy (eV/atom): 0.246
Calculated density (g/cm³): 8.046
Polymorph energy (0 for the lowest one) (meV per atom): 197
N(E_F) (states/eV/cell): 19.73

DFT (PBE) results for a relaxed structure of Cd2HgBi2.

Unit cell a=4.4628 b=6.3309 c=5.7767 alpha=76.85 beta=67.28 gamma=69.36
Closest atoms and distances in Å follow each position.
Fractional positions:
Bi: 0.1702 0.2359 0.4237  5 Cd 3.23-3.31, 3 Hg 3.24-3.56, 3 Bi 3.32-3.60
Bi: 0.8298 0.7641 0.5763  5 Cd 3.23-3.31, 3 Hg 3.24-3.56, 3 Bi 3.32-3.60
Cd: 0.6078 0.6082 0.1762  5 Bi 3.23-3.31, 3 Cd 3.26-3.55, 2 Hg 3.28
Cd: 0.3922 0.3918 0.8238  5 Bi 3.23-3.31, 3 Cd 3.26-3.55, 2 Hg 3.28
Hg: 0.0000 0.0000 0.0000  6 Bi 3.24-3.56, 4 Cd 3.28

Symmetry: C2/m (12)
Crystal system: monoclinic
Formation energy (eV/atom): 0.067
Calculated density (g/cm³): 9.997
Polymorph energy (0 for the lowest one) (meV per atom): 0
N(E_F) (states/eV/cell): 1.76

DFT (PBE) results for a relaxed structure of LaCoH3.

Unit cell a=3.6566 b=3.6566 c=3.6566 alpha=90.00 beta=90.00 gamma=90.00
Closest atoms and distances in Å follow each position.
Fractional positions:
La: 0.5000 0.5000 0.5000  12 H 2.59
H: 0.0000 0.0000 0.5000  2 Co 1.83
H: 0.0000 0.5000 0.0000  2 Co 1.83
H: 0.5000 0.0000 0.0000  2 Co 1.83
Co: 0.0000 0.0000 0.0000  6 H 1.83

Symmetry: Pm-3m (221)
Crystal system: cubic
Calculated density (g/cm³): 6.822
Total energy (Ha/atom): -0.1774
N(E_F) (states/eV/cell): 2.22

DFT (PBE) results for a relaxed structure of La6TbPmHo2.

Unit cell a=8.9897 b=7.1628 c=6.7289 alpha=122.16 beta=101.38 gamma=90.00
Closest atoms and distances in Å follow each position.
Fractional positions:
La: 0.8053 0.4030 0.3626  2 La 3.18-3.51, 2 Ho 3.25-3.54, 1 Pm 3.42
La: 0.1947 0.5970 0.6374  2 La 3.18-3.51, 2 Ho 3.25-3.54, 1 Pm 3.42
La: 0.8053 0.9596 0.3626  2 La 3.18-3.51, 2 Ho 3.25-3.54, 1 Pm 3.42
La: 0.4350 0.6382 0.2764  5 La 3.61-3.81, 1 Tb 3.86, 3 Pm 4.01-4.03
La: 0.1947 0.0404 0.6374  2 La 3.18-3.51, 2 Ho 3.25-3.54, 1 Pm 3.42
La: 0.5650 0.3618 0.7236  5 La 3.61-3.81, 1 Tb 3.86, 3 Pm 4.01-4.03
Pm: 0.5000 0.0000 0.0000  4 La 3.42, 2 Ho 3.42
Ho: 0.8382 0.9112 0.8224  1 Ho 3.13, 2 La 3.25, 1 Pm 3.42
Ho: 0.1618 0.0888 0.1776  1 Ho 3.13, 2 La 3.25, 1 Pm 3.42
Tb: 0.0000 0.5000 0.0000  10 La 3.60-3.98, 4 Ho 3.91

Symmetry: C2/m (12)
Crystal system: monoclinic
Formation energy (eV/atom): 0.192
Calculated density (g/cm³): 6.830
N(E_F) (states/eV/cell): 18.89